An optimized crystal structure of Tm3PuP4, computed with PBE-GGA.

Summary:
- VASP energy: -7.655 eV per atom
- Polymorph energy (0 for the lowest one): 0.33 kJ per mole of atoms
- Formation energy: -1482 meV/atom
- Total magnetic moment: 4.9 μB per formula unit

Unit cell a=6.8424 b=6.8424 c=3.9650 alpha=90.00 beta=90.00 gamma=109.51
With the nearest neighbours (Å) after each atom.
Positions (direct):
1 Tm 0.0000 0.0000 0.0000  6 P 2.80
2 Tm 0.0000 0.5000 0.5000  6 P 2.79-2.80
3 Tm 0.5000 0.0000 0.5000  6 P 2.79-2.80
4 Pu 0.5000 0.5000 0.0000  6 P 2.79
5 P 0.2502 0.7498 0.0000  1 Pu 2.79, 5 Tm 2.80
6 P 0.2506 0.2506 0.5000  4 Tm 2.79-2.80, 2 Pu 2.79
7 P 0.7494 0.7494 0.5000  4 Tm 2.79-2.80, 2 Pu 2.79
8 P 0.7498 0.2502 0.0000  1 Pu 2.79, 5 Tm 2.80